Below is crystalline Cs3CaDy2Se6 at its relaxed geometry, with properties calculated at the PBE level.

a b c (Å): 7.4622 7.4622 8.7326
angles (deg): 98.18 98.18 120.00
With the nearest neighbours (Å) after each atom.
Element x y z (fractional)
Cs (0.0000, 0.0000, 0.0000)  6 Se 3.57-3.64
Cs (0.3364, 0.6636, 0.0000)  6 Se 3.58-3.64
Cs (0.6636, 0.3364, 0.0000)  6 Se 3.58-3.64
Ca (0.5000, 0.5000, 0.5000)  6 Se 3.00-3.01
Dy (0.1669, 0.8331, 0.5000)  6 Se 2.90
Dy (0.8331, 0.1669, 0.5000)  6 Se 2.90
Se (0.0933, 0.4377, 0.3132)  2 Dy 2.90, 1 Ca 3.01
Se (0.2176, 0.2176, 0.6853)  2 Dy 2.90, 1 Ca 3.00
Se (0.4377, 0.0933, 0.3132)  2 Dy 2.90, 1 Ca 3.01
Se (0.5623, 0.9067, 0.6868)  2 Dy 2.90, 1 Ca 3.01
Se (0.7824, 0.7824, 0.3147)  2 Dy 2.90, 1 Ca 3.00
Se (0.9067, 0.5623, 0.6868)  2 Dy 2.90, 1 Ca 3.01

Calculated values
Space-group type   C2/m
Uncorrected formation energy   -152 kJ/mol of atoms